Material: CePrCdIr
Method: DFT, PBE
State: optimized geometry

a = 5.1962 Å, b = 5.1962 Å, c = 5.1962 Å
α = 60.00°, β = 60.00°, γ = 60.00°
Last column: magnetic moment on the atom in μB.
Fractional coordinates of all 4 atoms:
Pr1 0.5000 0.5000 0.5000  0.03
Cd1 0.7500 0.7500 0.7500  0.00
Ce1 0.0000 0.0000 0.0000  0.66
Ir1 0.2500 0.2500 0.2500  -0.05

Total magnetic moment ... 0.760 μB per formula unit
Energy of formation ... -337 meV per atom
SG ... F-43m (216)
Raw total energy ... -5.459 eV/atom